1.
# LaMnIn3 (PBE-GGA, optimized geometry)
# Polymorph energy (0 for the lowest one) = 1.241 eV/atom
# Total energy = -3.330 eV/atom
# Fermi-level density of states = 7.2 states/eV/f.u.
# Formation energy = 1.132 eV per atom
# Spin magnetization = 0.908 μB per atom
# V = 220.0 Å³/cell
data_LaMnIn3
_space_group_name_H-M_alt 'P m -3 m'
_space_group_IT_number 221
_space_group_name_Hall '-P 4 2 3'
_cell_length_a 6.0369
_cell_length_b 6.0369
_cell_length_c 6.0369
_cell_angle_alpha 90.00
_cell_angle_beta 90.00
_cell_angle_gamma 90.00
loop_
_atom_site_label
_atom_site_type_symbol
_atom_site_fract_x
_atom_site_fract_y
_atom_site_fract_z
La1 La 0.0000 0.0000 0.0000
Mn1 Mn 0.5000 0.5000 0.5000
In1 In 0.0000 0.0000 0.5000

=====

2.
# NpAl2H8 (PBE-GGA, optimized geometry)
# Total energy = -4.283 eV/atom
# Fermi-level density of states = 5.7 states/eV/f.u.
# Spin magnetization = 0.305 μB per atom
# V = 172.4 Å³/cell
data_NpAl2H8
_space_group_name_H-M_alt 'C 1 2/m 1'
_space_group_IT_number 12
_space_group_name_Hall '-C 2y'
_cell_length_a 7.5290
_cell_length_b 4.1285
_cell_length_c 6.2110
_cell_angle_alpha 90.00
_cell_angle_beta 116.76
_cell_angle_gamma 90.00
loop_
_atom_site_label
_atom_site_type_symbol
_atom_site_fract_x
_atom_site_fract_y
_atom_site_fract_z
Np1 Np 0.0000 0.0000 0.0000
Al1 Al 0.1898 0.0000 0.6378
H1 H 0.0584 0.5000 0.1885
H2 H 0.1843 0.2760 0.8444
H3 H 0.2375 0.0000 0.3810

=====

3.
# Pr2Sm12Dy5 (PBE-GGA, optimized geometry)
# Polymorph energy (0 for the lowest one) = 0.018 eV/atom
# Total energy = -4.563 eV/atom
# Fermi-level density of states = 27.4 states/eV/f.u.
# Formation energy = 0.132 eV per atom
# Spin magnetization = 0.000 μB per atom
# V = 1294.2 Å³/cell
data_Pr2Sm12Dy5
_space_group_name_H-M_alt 'C 1 2/m 1'
_space_group_IT_number 12
_space_group_name_Hall '-C 2y'
_cell_length_a 15.9235
_cell_length_b 9.3338
_cell_length_c 8.7093
_cell_angle_alpha 90.00
_cell_angle_beta 91.09
_cell_angle_gamma 90.00
loop_
_atom_site_label
_atom_site_type_symbol
_atom_site_fract_x
_atom_site_fract_y
_atom_site_fract_z
Pr1 Pr 0.0000 0.1779 0.0000
Sm1 Sm 0.0623 0.0000 0.3368
Sm2 Sm 0.0897 0.5000 0.8819
Sm3 Sm 0.1261 0.1927 0.6612
Sm4 Sm 0.1545 0.3196 0.2401
Dy1 Dy 0.0000 0.5000 0.5000
Dy2 Dy 0.1996 0.0000 0.0174
Dy3 Dy 0.2304 0.5000 0.5716